A relaxed structure of CdCuPt2, computed with GGA-PBE.

Results
- raw total energy (eV per atom) = -4.43
- space-group type = No. 25

Structure (extended XYZ):
```
4
Lattice="2.8153 0.0000 0.0000 0.0000 3.9558 0.0000 0.0000 0.0000 5.7106" Properties=species:S:1:pos:R:3 pbc="T T T"
Cd 0.0000 0.0000 0.0000
Cu 1.4077 1.9779 1.5370
Pt 0.0000 0.0000 2.7506
Pt 1.4077 1.9779 4.2482
```

A relaxed structure of ErPaHgPb, computed with GGA-PBE.

Results
- raw total energy (eV per atom) = -4.56
- space-group type = No. 216

Structure (extended XYZ):
```
4
Lattice="0.0000 3.7705 3.7705 3.7705 0.0000 3.7705 3.7705 3.7705 0.0000" Properties=species:S:1:pos:R:3 pbc="T T T"
Er 0.0000 0.0000 0.0000
Pa 3.7705 3.7705 3.7705
Hg 5.6557 5.6557 5.6557
Pb 1.8852 1.8852 1.8852
```

A relaxed structure of ScTa2Ag, computed with GGA-PBE.

Results
- raw total energy (eV per atom) = -8.02
- space-group type = No. 139

Structure (extended XYZ):
```
4
Lattice="-2.0182 2.0182 4.6347 2.0182 -2.0182 4.6347 2.0182 2.0182 -4.6347" Properties=species:S:1:pos:R:3 pbc="T T T"
Sc 0.0000 0.0000 0.0000
Ta 2.0182 0.0000 2.3174
Ta 0.0000 2.0182 2.3174
Ag 0.0000 0.0000 4.6347
```

A relaxed structure of Li2NdAu2, computed with GGA-PBE.

Results
- raw total energy (eV per atom) = -3.64
- space-group type = No. 139

Structure (extended XYZ):
```
5
Lattice="-1.9844 1.9844 6.6019 1.9844 -1.9844 6.6019 1.9844 1.9844 -6.6019" Properties=species:S:1:pos:R:3 pbc="T T T"
Li 1.9844 0.0000 3.3009
Li 0.0000 1.9844 3.3009
Nd 0.0000 0.0000 0.0000
Au 0.0000 0.0000 5.1427
Au 0.0000 0.0000 8.0611
```

A relaxed structure of CaCr2PdPt, computed with GGA-PBE.

Results
- raw total energy (eV per atom) = -4.40
- space-group type = No. 123

Structure (extended XYZ):
```
5
Lattice="4.2989 0.0000 0.0000 0.0000 4.2989 0.0000 0.0000 0.0000 4.6690" Properties=species:S:1:pos:R:3 pbc="T T T"
Ca 0.0000 0.0000 0.0000
Cr 0.0000 2.1495 0.0000
Cr 2.1495 0.0000 0.0000
Pd 0.0000 0.0000 2.3345
Pt 2.1495 2.1495 2.3345
```

A relaxed structure of LaSm2Ga2Hg2, computed with GGA-PBE.

Results
- raw total energy (eV per atom) = -3.41
- space-group type = No. 166

Structure (extended XYZ):
```
7
Lattice="2.3481 1.3557 9.7335 -2.3481 1.3557 9.7335 0.0000 -2.7114 9.7335" Properties=species:S:1:pos:R:3 pbc="T T T"
La 0.0000 0.0000 0.0000
Sm 0.0000 0.0000 3.7885
Sm 0.0000 0.0000 25.4120
Ga 0.0000 0.0000 7.2963
Ga 0.0000 0.0000 21.9041
Hg 0.0000 0.0000 11.6641
Hg 0.0000 0.0000 17.5363
```

A relaxed structure of ErThMgGa, computed with GGA-PBE.

Results
- raw total energy (eV per atom) = -4.38
- space-group type = No. 216

Structure (extended XYZ):
```
4
Lattice="0.0000 3.6962 3.6962 3.6962 0.0000 3.6962 3.6962 3.6962 0.0000" Properties=species:S:1:pos:R:3 pbc="T T T"
Er 0.0000 0.0000 0.0000
Th 3.6962 3.6962 3.6962
Mg 1.8481 1.8481 1.8481
Ga 5.5444 5.5444 5.5444
```

A relaxed structure of CsCd2HgIr, computed with GGA-PBE.

Results
- raw total energy (eV per atom) = -2.38
- space-group type = No. 123

Structure (extended XYZ):
```
5
Lattice="5.3482 0.0000 0.0000 0.0000 5.3482 0.0000 0.0000 0.0000 5.4245" Properties=species:S:1:pos:R:3 pbc="T T T"
Cs 0.0000 0.0000 0.0000
Cd 0.0000 2.6741 2.7122
Cd 2.6741 0.0000 2.7122
Hg 2.6741 2.6741 0.0000
Ir 2.6741 2.6741 2.7122
```

A relaxed structure of Ta2VS6, computed with GGA-PBE.

Results
- raw total energy (eV per atom) = -7.39
- space-group type = No. 12

Structure (extended XYZ):
```
9
Lattice="8.3001 -1.6787 0.0000 8.3001 1.6787 0.0000 -3.0739 0.0000 6.9878" Properties=species:S:1:pos:R:3 pbc="T T T"
Ta 1.6268 0.0000 2.2261
Ta 11.8994 0.0000 4.7617
V 8.3001 0.0000 0.0000
S -0.6754 0.0000 1.6086
S 4.0798 0.0000 3.0094
S 2.8784 0.0000 6.3922
S 10.6478 0.0000 0.5956
S 9.4464 0.0000 3.9784
S 14.2016 0.0000 5.3792
```

A relaxed structure of Na2CuSeO4, computed with GGA-PBE.

Results
- raw total energy (eV per atom) = -4.69
- space-group type = No. 82

Structure (extended XYZ):
```
8
Lattice="-2.7202 2.7202 3.8482 2.7202 -2.7202 3.8482 2.7202 2.7202 -3.8482" Properties=species:S:1:pos:R:3 pbc="T T T"
Na 0.0000 0.0000 0.0000
Na 0.0000 2.7202 1.9241
Cu 0.0000 0.0000 3.8482
Se 2.7202 0.0000 1.9241
O 1.2241 1.7364 -0.9341
O 3.7039 1.2241 0.9341
O 1.4961 0.9838 2.9141
O -0.9838 1.4961 4.7824
```

A relaxed structure of TbYF, computed with GGA-PBE.

Results
- raw total energy (eV per atom) = -5.87
- space-group type = No. 156

Structure (extended XYZ):
```
3
Lattice="3.7195 0.0000 0.0000 -1.8598 3.2212 0.0000 0.0000 0.0000 5.6273" Properties=species:S:1:pos:R:3 pbc="T T T"
Tb 0.0000 0.0000 0.0000
Y 1.8598 1.0737 2.7433
F 0.0000 2.1475 4.1818
```

A relaxed structure of TbPrNd2Sm6, computed with GGA-PBE.

Results
- raw total energy (eV per atom) = -4.61
- space-group type = No. 15

Structure (extended XYZ):
```
20
Lattice="4.5807 -7.6600 0.0000 4.5807 7.6600 0.0000 -1.6276 0.0000 9.8212" Properties=species:S:1:pos:R:3 pbc="T T T"
Tb 3.3600 7.3882 7.3659
Tb 4.1738 -7.3882 2.4553
Pr 4.1738 1.4587 2.4553
Pr 3.3600 -1.4587 7.3659
Nd 1.3095 0.7820 5.3138
Nd 2.1232 -0.7820 0.4032
Nd 5.4106 0.7820 9.4179
Nd 6.2244 -0.7820 4.5074
Sm 1.6491 4.2330 6.7366
Sm 3.8800 4.7875 0.5554
Sm 4.4677 4.7875 4.3552
Sm 2.2019 1.5762 8.6276
Sm 5.0710 4.2330 7.9952
Sm 3.0157 -1.5762 3.7170
Sm 4.5182 1.5762 6.1041
Sm 2.4629 -4.2330 1.8260
Sm 5.3320 -1.5762 1.1936
Sm 3.0662 -4.7875 5.4660
Sm 3.6539 -4.7875 9.2658
Sm 5.8848 -4.2330 3.0846
```